# KBi3S | the Alexandria database | PBE-GGA | optimized geometry
# N(E_F) (states/eV/f.u.): 5.86
# Energy above the lowest structure with this stoichiometry (eV per formula unit): 0.00
# Mass density (g/cm³): 6.680
# DFT total energy (eV/cell): -16.3
# Uncorrected formation energy (eV/atom): 0.11
data_KBi3S
_symmetry_space_group_name_H-M 'P m -3 m'
_symmetry_Int_Tables_number 221
_symmetry_space_group_name_Hall '-P 4 2 3'
_cell_length_a 5.578
_cell_length_b 5.578
_cell_length_c 5.578
_cell_angle_alpha 90.00
_cell_angle_beta 90.00
_cell_angle_gamma 90.00
loop_
_atom_site_label
_atom_site_fract_x
_atom_site_fract_y
_atom_site_fract_z
K1 0.000 0.000 0.000
Bi1 0.000 0.500 0.500
S1 0.500 0.500 0.500